VASP calculation (PBEsol) on an optimized crystal structure of CoSb2Br2O3.

The value obtained for the formation energy (no corrections) is -936 meV/atom. The calculation puts the total energy at -43.8 eV/f.u.

The structure belongs to space group P-1 (No. 2); the cell edges are 5.187, 7.981 and 8.093 Å and the angles 83.02°, 81.91° and 82.52°. Symmetry generates all atoms from Co at (0.027, 0.291, 0.483), Sb at (0.404, 0.953, 0.697), Sb at (0.432, 0.502, 0.705), Br at (0.141, 0.806, 0.221), Br at (0.247, 0.332, 0.134), O at (0.262, 0.470, 0.485), O at (0.271, 0.744, 0.636) and O at (0.281, 0.089, 0.483).